A plane-wave DFT calculation with PBE was carried out for Mg3AlAg after structural relaxation.

Output
Formation energy from the elements (kcal/mol of atoms): 10.0
Calculated density (g cm⁻³): 2.52
Total energy (eV/cell): -9.2

```
data_Mg3AlAg
_cell_length_a 5.1531
_cell_length_b 5.1531
_cell_length_c 5.1531
_cell_angle_alpha 90.00
_cell_angle_beta 90.00
_cell_angle_gamma 90.00
_space_group_name_H-M_alt 'P m -3 m'
_space_group_IT_number 221
_space_group_name_Hall '-P 4 2 3'
loop_
_atom_site_label
_atom_site_fract_x
_atom_site_fract_y
_atom_site_fract_z
_atom_site_occupancy
Mg1 0.0000 0.0000 0.5000 1
Al1 0.0000 0.0000 0.0000 1
Ag1 0.5000 0.5000 0.5000 1
```